NaSr2LiTe: optimized geometry, PBE.

VASP energy (eV per atom): -2.122
V (Å³/atom): 37.48
Relative energy among the computed polymorphs (eV/f.u.): 0.000
Formation energy from raw total energies (meV per atom): -174

abc: 6.120 6.120 5.004
angles: 90.00 90.00 90.00
Space group P4/mmm (No. 123)
Symmetry-distinct sites (fractional):
Na 0.000 0.000 0.000
Sr 0.000 0.500 0.500
Li 0.000 0.000 0.500
Te 0.500 0.500 0.000

=====

La2CeTe: optimized geometry, PBE.

VASP energy (eV per atom): -5.254
V (Å³/atom): 35.30
Relative energy among the computed polymorphs (eV/f.u.): 0.297
Formation energy from raw total energies (meV per atom): -522

abc: 4.0075 4.0075 30.4522
angles: 90.00 90.00 120.00
Space group R-3m (No. 166, hexagonal axes)
Symmetry-distinct sites (fractional):
La 0.0000 0.0000 0.2401
Ce 0.0000 0.0000 0.0000
Te 0.0000 0.0000 0.5000

=====

Pm5Ge3: optimized geometry, PBE.

VASP energy (eV per atom): -5.431
ΔH_f (0 K) (eV per atom): -0.730
V (Å³/atom): 27.77
Relative energy among the computed polymorphs (eV/f.u.): 0.000

abc: 8.7775 8.7775 6.6602
angles: 90.00 90.00 120.00
Space group P6_3/mcm (No. 193)
Symmetry-distinct sites (fractional):
Pm 0.0000 0.2447 0.2500
Pm 0.3333 0.6667 0.0000
Ge 0.0000 0.3928 0.7500

=====

BaPuSe3: optimized geometry, PBE.

VASP energy (eV per atom): -6.924
V (Å³/atom): 30.31
Formation energy from raw total energies (meV per atom): -1582

abc: 9.098 4.334 15.376
angles: 90.00 90.00 90.00
Space group Pnma (No. 62)
Symmetry-distinct sites (fractional):
Ba 0.073 0.250 0.179
Pu 0.169 0.750 0.444
Se 0.020 0.750 0.605
Se 0.165 0.750 0.011
Se 0.201 0.250 0.783

=====

BeTeAsF2: optimized geometry, PBE.

VASP energy (eV per atom): -3.730
V (Å³/atom): 19.86
Formation energy from raw total energies (meV per atom): -678

abc: 4.023 4.023 6.135
angles: 90.00 90.00 90.00
Space group P4/mmm (No. 123)
Symmetry-distinct sites (fractional):
Be 0.000 0.000 0.000
Te 0.500 0.500 0.000
As 0.500 0.500 0.500
F 0.000 0.500 0.500

=====

Pa3BiH: optimized geometry, PBE.

VASP energy (eV per atom): -7.320
V (Å³/atom): 21.05

abc: 4.721 4.721 4.721
angles: 90.00 90.00 90.00
Space group Pm-3m (No. 221)
Symmetry-distinct sites (fractional):
Pa 0.000 0.000 0.500
Bi 0.500 0.500 0.500
H 0.000 0.000 0.000

=====

Cd5PO8: optimized geometry, PBE.

VASP energy (eV per atom): -4.686
V (Å³/atom): 14.22
Formation energy from raw total energies (meV per atom): -1139

abc: 6.869 6.869 8.438
angles: 90.00 90.00 90.00
Space group I-4 (No. 82)
Symmetry-distinct sites (fractional):
Cd 0.000 0.000 0.000
Cd 0.097 0.719 0.389
P 0.000 0.500 0.750
O 0.008 0.310 0.647
O 0.074 0.730 0.128

=====

Sr2CdGa3Hg4: optimized geometry, PBE.

VASP energy (eV per atom): -1.771
ΔH_f (0 K) (eV per atom): -0.315
V (Å³/atom): 25.46

abc: 4.652 4.652 11.766
angles: 90.00 90.00 90.00
Space group P-4m2 (No. 115)
Symmetry-distinct sites (fractional):
Sr 0.000 0.500 0.243
Cd 0.000 0.000 0.500
Ga 0.000 0.500 0.869
Ga 0.500 0.500 0.500
Hg 0.000 0.000 0.000
Hg 0.000 0.500 0.642
Hg 0.500 0.500 0.000

=====

BTeH6F: optimized geometry, PBE.

VASP energy (eV per atom): -3.712
V (Å³/atom): 14.42

abc: 4.352 4.488 7.025
angles: 83.58 80.41 74.03
Space group P1 (No. 1)
Symmetry-distinct sites (fractional):
B 0.000 0.000 0.000
Te 0.297 0.744 0.608
H 0.070 0.860 0.175
H 0.077 0.229 0.023
H 0.216 0.798 0.912
H 0.511 0.997 0.628
H 0.731 0.040 0.964
H 0.880 0.850 0.161
F 0.485 0.719 0.324

=====

InSb2Au: optimized geometry, PBE.

VASP energy (eV per atom): -3.583
V (Å³/atom): 25.94
Formation energy from raw total energies (meV per atom): -18

abc: 3.097 3.984 8.546
angles: 90.00 100.30 90.00
Space group Pm (No. 6)
Symmetry-distinct sites (fractional):
In 0.000 0.000 0.000
Sb 0.144 0.500 0.290
Sb 0.281 0.000 0.566
Au 0.407 0.500 0.815

=====

Nd6Sm5Dy2: optimized geometry, PBE.

VASP energy (eV per atom): -4.630
ΔH_f (0 K) (eV per atom): 0.094
V (Å³/atom): 34.63

abc: 11.818 20.872 3.650
angles: 90.00 90.00 90.00
Space group Pbam (No. 55)
Symmetry-distinct sites (fractional):
Nd 0.062 0.080 0.000
Nd 0.082 0.368 0.000
Nd 0.174 0.637 0.500
Sm 0.000 0.500 0.500
Sm 0.088 0.226 0.500
Sm 0.198 0.945 0.500
Dy 0.169 0.789 0.000

=====

Pm3SmZn8: optimized geometry, PBE.

VASP energy (eV per atom): -2.757
ΔH_f (0 K) (eV per atom): -0.327
V (Å³/atom): 20.14
Relative energy among the computed polymorphs (eV/f.u.): 0.000

abc: 5.5577 5.5577 27.1024
angles: 90.00 90.00 120.00
Space group R3m (No. 160, hexagonal axes)
Symmetry-distinct sites (fractional):
Pm 0.0000 0.0000 0.0000
Pm 0.0000 0.0000 0.1248
Pm 0.0000 0.0000 0.6249
Sm 0.0000 0.0000 0.5002
Zn 0.0000 0.0000 0.3125
Zn 0.0000 0.0000 0.8125
Zn 0.0003 0.5002 0.0627
Zn 0.9998 0.4999 0.5623

=====

Ho7Sn2Pb2: optimized geometry, PBE.

VASP energy (eV per atom): -4.506
ΔH_f (0 K) (eV per atom): -0.191
V (Å³/atom): 32.19

abc: 8.931 11.030 7.188
angles: 90.00 90.00 90.00
Space group Cmmm (No. 65)
Symmetry-distinct sites (fractional):
Ho 0.000 0.000 0.000
Ho 0.000 0.500 0.263
Ho 0.250 0.250 0.274
Sn 0.000 0.279 0.000
Pb 0.185 0.000 0.500

=====

Tb6TlTe3P2: optimized geometry, PBE.

VASP energy (eV per atom): -5.492
V (Å³/atom): 27.55
Formation energy from raw total energies (meV per atom): -1292

abc: 18.712 4.181 8.724
angles: 90.00 104.37 90.00
Space group C2/m (No. 12)
Symmetry-distinct sites (fractional):
Tb 0.012 0.000 0.255
Tb 0.168 0.500 0.114
Tb 0.176 0.500 0.563
Tl 0.000 0.500 0.000
Te 0.000 0.500 0.500
Te 0.164 0.000 0.831
P 0.169 0.000 0.338

=====

Li2DyPb2: optimized geometry, PBE.

VASP energy (eV per atom): -3.503
ΔH_f (0 K) (eV per atom): -0.334
V (Å³/atom): 22.98

abc: 8.421 8.421 3.241
angles: 90.00 90.00 90.00
Space group P4/mbm (No. 127)
Symmetry-distinct sites (fractional):
Li 0.114 0.386 0.000
Dy 0.000 0.000 0.000
Pb 0.180 0.680 0.500

=====

MnNiCl2: optimized geometry, PBE.

VASP energy (eV per atom): -4.648
V (Å³/atom): 17.72
Relative energy among the computed polymorphs (eV/f.u.): 1.612
Formation energy from raw total energies (meV per atom): 13

abc: 3.321 5.901 7.234
angles: 90.00 90.00 90.00
Space group Immm (No. 71)
Symmetry-distinct sites (fractional):
Mn 0.000 0.000 0.000
Ni 0.000 0.000 0.500
Cl 0.000 0.500 0.233

=====

Ca2Al3ZnGa4: optimized geometry, PBE.

VASP energy (eV per atom): -3.183
ΔH_f (0 K) (eV per atom): -0.321
V (Å³/atom): 20.25

abc: 4.287 4.287 11.020
angles: 90.00 90.00 90.00
Space group P-4m2 (No. 115)
Symmetry-distinct sites (fractional):
Ca 0.000 0.500 0.247
Al 0.000 0.000 0.000
Al 0.000 0.500 0.637
Zn 0.500 0.500 0.000
Ga 0.000 0.000 0.500
Ga 0.000 0.500 0.863
Ga 0.500 0.500 0.500

=====

MgNiAgSn: optimized geometry, PBE.

VASP energy (eV per atom): -3.682
ΔH_f (0 K) (eV per atom): -0.125
V (Å³/atom): 17.24

abc: 6.509 6.509 6.509
angles: 90.00 90.00 90.00
Space group F-43m (No. 216)
Symmetry-distinct sites (fractional):
Mg 0.000 0.000 0.000
Ni 0.250 0.250 0.250
Ag 0.250 0.250 0.750
Sn 0.000 0.000 0.500

=====

PrNd2AlO: optimized geometry, PBE.

VASP energy (eV per atom): -5.911
V (Å³/atom): 24.25
Formation energy from raw total energies (meV per atom): -1308

abc: 4.933 4.933 4.983
angles: 90.00 90.00 90.00
Space group P4/mmm (No. 123)
Symmetry-distinct sites (fractional):
Pr 0.000 0.000 0.000
Nd 0.000 0.500 0.500
Al 0.500 0.500 0.000
O 0.000 0.000 0.500

=====

CrNiAs2: optimized geometry, PBE.

VASP energy (eV per atom): -6.061
ΔH_f (0 K) (eV per atom): 0.115
V (Å³/atom): 14.27
Relative energy among the computed polymorphs (eV/f.u.): 0.937

abc: 6.113 6.113 6.113
angles: 90.00 90.00 90.00
Space group Fm-3m (No. 225)
Symmetry-distinct sites (fractional):
Cr 0.000 0.000 0.000
Ni 0.000 0.000 0.500
As 0.250 0.250 0.250